[1]
The following is a DFT calculation (PBE) of an optimized crystal structure of RbMgIn2Ru.

abc: 5.1093 5.1093 5.4535
angles: 90.00 90.00 90.00
Fractional positions:
Mg: 0.5000 0.5000 0.5000
In: 0.5000 0.0000 0.0000
In: 0.0000 0.5000 0.0000
Ru: 0.0000 0.0000 0.0000
Rb: 0.0000 0.0000 0.5000

Results
* magnetic moment: 0.0 μB/f.u.
* E above lowest polymorph: 596 meV per atom
* crystal system: tetragonal
* space group: P4/mmm (123)
* energy relative to the elements: 2.7 eV/f.u.


[2]
The following is a DFT calculation (PBE) of an optimized crystal structure of MgPd.

abc: 7.9650 7.9650 7.9650
angles: 90.00 90.00 90.00
Fractional positions:
Pd: 0.6217 0.6217 0.3783
Pd: 0.6217 0.3783 0.6217
Pd: 0.8783 0.8783 0.8783
Pd: 0.3783 0.6217 0.6217
Pd: 0.3783 0.3783 0.3783
Pd: 0.1217 0.1217 0.8783
Pd: 0.8783 0.1217 0.1217
Pd: 0.1217 0.8783 0.1217
Mg: 0.1961 0.1961 0.1961
Mg: 0.6961 0.6961 0.6961
Mg: 0.8039 0.1961 0.8039
Mg: 0.3039 0.6961 0.3039
Mg: 0.3039 0.3039 0.6961
Mg: 0.8039 0.8039 0.1961
Mg: 0.1961 0.8039 0.8039
Mg: 0.6961 0.3039 0.3039

Results
* magnetic moment: 0.0 μB/f.u.
* crystal system: cubic
* space group: I-43m (217)
* energy relative to the elements: 0.1 eV/f.u.


Copy entry 1 word for word.
The following is a DFT calculation (PBE) of an optimized crystal structure of RbMgIn2Ru.

abc: 5.1093 5.1093 5.4535
angles: 90.00 90.00 90.00
Fractional positions:
Mg: 0.5000 0.5000 0.5000
In: 0.5000 0.0000 0.0000
In: 0.0000 0.5000 0.0000
Ru: 0.0000 0.0000 0.0000
Rb: 0.0000 0.0000 0.5000

Results
* magnetic moment: 0.0 μB/f.u.
* E above lowest polymorph: 596 meV per atom
* crystal system: tetragonal
* space group: P4/mmm (123)
* energy relative to the elements: 2.7 eV/f.u.